one) Material: Ti3CoIr
Method: DFT, GGA-PBE
State: relaxed

Results
Space group: Pm-3m
DOS(E_F), states/eV/atom: 1.05
Spin magnetization, Bohr magnetons per cell: 0.36

a b c (Å): 6.0822 6.0822 6.0822
angles (deg): 90.00 90.00 90.00
Fractional coordinates of all 15 atoms:
Ti (0.2400, 0.7600, 0.2400)
Co (0.5000, 0.0000, 0.0000)
Ir (0.0000, 0.5000, 0.5000)
Ti (0.5000, 0.5000, 0.5000)
Ir (0.5000, 0.5000, 0.0000)
Co (0.0000, 0.5000, 0.0000)
Co (0.0000, 0.0000, 0.5000)
Ti (0.7600, 0.7600, 0.7600)
Ti (0.2400, 0.2400, 0.2400)
Ti (0.2400, 0.7600, 0.7600)
Ti (0.7600, 0.2400, 0.7600)
Ti (0.7600, 0.2400, 0.2400)
Ti (0.7600, 0.7600, 0.2400)
Ti (0.2400, 0.2400, 0.7600)
Ir (0.5000, 0.0000, 0.5000)

two) Material: Ti3CoIr
Method: DFT, GGA-PBE
State: relaxed

Results
Space group: Pm-3m
DOS(E_F), states/eV/atom: 1.78
Spin magnetization, Bohr magnetons per cell: 0.00

a b c (Å): 4.3826 4.3826 4.3826
angles (deg): 90.00 90.00 90.00
Fractional coordinates of all 5 atoms:
Ti (0.0000, 0.5000, 0.0000)
Ti (0.0000, 0.0000, 0.5000)
Co (0.0000, 0.0000, 0.0000)
Ir (0.5000, 0.5000, 0.5000)
Ti (0.5000, 0.0000, 0.0000)

Q: Which of them is the most stable? A: one).

one) Material: Ti6Co2Ir
Method: DFT, GGA-PBE
State: relaxed

Results
Space group: P2_1/c
DOS(E_F), states/eV/atom: 0.96
Spin magnetization, Bohr magnetons per cell: 0.00

a b c (Å): 5.0031 6.5845 8.5429
angles (deg): 90.00 90.04 90.00
Fractional coordinates of all 18 atoms:
Ti (0.3700, 0.7688, 0.4226)
Ti (0.3292, 0.5901, 0.7348)
Ti (0.6680, 0.1368, 0.9549)
Ti (0.3320, 0.8632, 0.0451)
Co (0.3768, 0.0887, 0.2776)
Co (0.1232, 0.5887, 0.2224)
Ti (0.1680, 0.3632, 0.4549)
Ir (0.0000, 0.0000, 0.5000)
Ir (0.5000, 0.5000, 0.0000)
Ti (0.1708, 0.0901, 0.7652)
Co (0.6232, 0.9113, 0.7224)
Ti (0.8700, 0.7312, 0.9226)
Ti (0.6708, 0.4099, 0.2652)
Ti (0.8320, 0.6368, 0.5451)
Ti (0.1300, 0.2688, 0.0774)
Co (0.8768, 0.4113, 0.7776)
Ti (0.8292, 0.9099, 0.2348)
Ti (0.6300, 0.2312, 0.5774)

two) Material: Ti6Co2Ir
Method: DFT, GGA-PBE
State: relaxed

Results
Space group: Immm
DOS(E_F), states/eV/atom: 1.15
Spin magnetization, Bohr magnetons per cell: 0.00

a b c (Å): 7.0925 7.0925 7.0925
angles (deg): 108.39 110.72 109.32
Fractional coordinates of all 18 atoms:
Ir (0.0000, 0.0000, 0.0000)
Ti (0.2826, 0.9580, 0.6753)
Co (0.6477, 0.0000, 0.6477)
Ti (0.7174, 0.0420, 0.3247)
Co (0.3523, 0.0000, 0.3523)
Ir (0.0000, 0.5000, 0.5000)
Ti (0.7174, 0.3927, 0.6753)
Ti (0.4724, 0.2871, 0.1853)
Ti (0.2002, 0.2421, 0.4423)
Ti (0.1018, 0.2871, 0.8147)
Co (0.5000, 0.3560, 0.8560)
Co (0.5000, 0.6440, 0.1440)
Ti (0.2002, 0.7579, 0.9581)
Ti (0.7998, 0.7579, 0.5577)
Ti (0.8982, 0.7129, 0.1853)
Ti (0.7998, 0.2421, 0.0419)
Ti (0.5276, 0.7129, 0.8147)
Ti (0.2826, 0.6073, 0.3247)

Q: Which of them is the most stable? A: two).

one) Material: Ti3CoIr2
Method: DFT, GGA-PBE
State: relaxed

Results
Space group: Cmmm
DOS(E_F), states/eV/atom: 0.68
Spin magnetization, Bohr magnetons per cell: 3.00

a b c (Å): 4.2400 6.7012 6.4727
angles (deg): 90.00 90.00 71.56
Fractional coordinates of all 12 atoms:
Ti (0.8303, 0.3394, 0.2381)
Ir (0.6662, 0.6676, 0.5000)
Co (0.6665, 0.6670, 0.0000)
Ti (0.1697, 0.6606, 0.7619)
Ti (0.5000, 0.0000, 0.7567)
Ti (0.8303, 0.3394, 0.7619)
Ti (0.5000, 0.0000, 0.2433)
Ti (0.1697, 0.6606, 0.2381)
Co (0.3335, 0.3330, 0.0000)
Ir (0.3338, 0.3324, 0.5000)
Ir (0.0000, 0.0000, 0.5000)
Ir (0.0000, 0.0000, 0.0000)

two) Material: Ti3CoIr2
Method: DFT, GGA-PBE
State: relaxed

Results
Space group: P4/mmm
DOS(E_F), states/eV/atom: 0.95
Spin magnetization, Bohr magnetons per cell: 1.03

a b c (Å): 2.9618 2.9618 9.8954
angles (deg): 90.00 90.00 90.00
Fractional coordinates of all 6 atoms:
Ti (0.0000, 0.0000, 0.6530)
Ti (0.0000, 0.0000, 0.0000)
Ir (0.5000, 0.5000, 0.1763)
Ti (0.0000, 0.0000, 0.3470)
Ir (0.5000, 0.5000, 0.8237)
Co (0.5000, 0.5000, 0.5000)

Q: Which of them is the most stable? A: one).